No. 1
Computed, not measured: an optimized crystal structure of TmGaCuNi at the PBE level of DFT.

Geometry as POSCAR:
```
TmGaCuNi
1.0
0.0000 3.1586 3.1586
3.1586 0.0000 3.1586
3.1586 3.1586 0.0000
Tm Ga Cu Ni
1 1 1 1
Cartesian
0.0000 0.0000 0.0000
3.1586 3.1586 3.1586
4.7379 4.7379 4.7379
1.5793 1.5793 1.5793
```

Output
Its energy is -4.7327 eV/atom. As for the symmetry: No. 216. As for the energy of formation: -0.389 eV/atom.

---

No. 2
Computed, not measured: an optimized crystal structure of TmGa2CuNi4 at the PBE level of DFT.

Geometry as POSCAR:
```
TmGa2CuNi4
1.0
2.0507 1.1840 7.6229
-2.0507 1.1840 7.6229
0.0000 -2.3679 7.6229
Tm Ga Cu Ni
1 2 1 4
Cartesian
0.0000 0.0000 0.0000
0.0000 0.0000 5.4991
0.0000 0.0000 17.3695
0.0000 0.0000 11.4343
0.0000 0.0000 2.8900
0.0000 0.0000 9.1039
0.0000 0.0000 13.7647
0.0000 0.0000 19.9786
```

Output
Its energy is -5.0742 eV/atom. As for the symmetry: No. 166. As for the energy of formation: -0.356 eV/atom.